Compound: Ti15Tl2Sn2
Source: Alexandria
Functional: PBE
Structure: optimized geometry

```
Ti15Tl2Sn2
1.0
-2.254 3.317 -6.007
-2.950 -5.487 -3.653
-7.020 0.934 1.420
Ti Tl Sn
15 2 2
Cartesian
-1.127 1.658 -3.003
-3.510 0.467 0.710
-1.475 -2.744 -1.827
-5.773 -1.033 -0.135
-2.737 -2.790 -4.375
-3.714 2.587 -3.731
-2.468 0.619 -5.286
-5.560 1.664 -0.856
-4.197 -3.520 -2.099
-5.612 1.073 -5.861
-7.818 -0.030 -2.423
-5.934 -3.002 -4.771
-6.612 -2.310 -2.380
-4.406 -1.207 -5.818
-6.290 1.766 -3.470
-10.995 -1.112 -7.412
-1.229 -0.124 -0.829
-8.225 -0.832 -5.544
-4.000 -0.405 -2.696
```

## Properties
Energy of formation: 235 meV/atom
Symmetry: No. 166


Compound: Ti6TlSn2
Source: Alexandria
Functional: PBE
Structure: optimized geometry

```
Ti6TlSn2
1.0
4.688 0.828 0.479
1.017 7.438 1.097
1.017 4.657 5.903
Ti Tl Sn
6 1 2
Cartesian
3.072 6.966 5.703
2.600 9.685 5.605
3.072 8.416 3.199
3.650 5.957 1.776
4.121 3.238 1.874
3.650 4.507 4.280
0.000 0.000 0.000
5.248 8.816 5.102
1.474 4.107 2.377
```

## Properties
Energy of formation: -64 meV/atom
Symmetry: No. 71


Compound: TiTl2Sn
Source: Alexandria
Functional: PBE
Structure: optimized geometry

```
TiTl2Sn
1.0
8.333 0.000 0.000
0.000 8.333 0.000
4.166 4.166 2.974
Tl Sn Ti
4 2 2
Cartesian
6.041 2.083 0.744
2.291 6.249 0.744
6.249 6.458 2.231
10.416 10.207 2.231
0.000 0.000 0.000
8.333 4.166 1.487
4.166 4.166 0.000
4.166 8.333 1.487
```

## Properties
Energy of formation: 356 meV/atom
Distance to the lowest polymorph of the same formula: 0 meV per atom
Symmetry: No. 122


Look up the energy of formation of the second one. -64 meV/atom


Which of these has the lowest energy of formation? Ti6TlSn2